[1]
A plane-wave DFT calculation with PBE-GGA was carried out for a relaxed structure of InCuHg2.

Results
Electronic total energy (eV per atom): -1.745
D(E_F) (states/eV/atom): 0.38
Calculated volume (Å³ per atom): 22.47
Formation enthalpy at 0 K (kJ per mole of atoms): 11.0

Cell lengths 3.1059, 4.5259, 12.7858 Å; angles 90.00, 90.00, 90.00 degrees
Last column: nearest neighbours and their distance in Å.
Space group Immm (No. 71)
Symmetry-distinct sites (fractional):
In 0.0000 0.0000 0.0000 [2 per cell]  4 Cu 2.74
Cu 0.0000 0.0000 0.5000 [2 per cell]  4 In 2.74, 4 Hg 2.85
Hg 0.0000 0.5000 0.1872 [4 per cell]  2 Cu 2.85, 6 Hg 3.11-3.18



[2]
A plane-wave DFT calculation with PBE-GGA was carried out for a relaxed structure of Li12Hg6Pb.

Results
Electronic total energy (eV per atom): -1.768
D(E_F) (states/eV/atom): 0.38
Calculated volume (Å³ per atom): 19.71
Formation enthalpy at 0 K (kJ per mole of atoms): -25.9

Cell lengths 10.3197, 10.3197, 12.1822 Å; angles 90.00, 90.00, 120.00 degrees
Last column: nearest neighbours and their distance in Å.
Space group R-3 (No. 148, hexagonal axes)
Symmetry-distinct sites (fractional):
Li 0.0281 0.1896 0.3165 [18 per cell]  4 Hg 2.86-3.11, 1 Pb 2.89, 5 Li 2.91-3.19
Li 0.0566 0.8416 0.9141 [18 per cell]  4 Hg 2.69-2.83, 3 Li 2.89-2.91
Hg 0.0067 0.5864 0.7962 [18 per cell]  7 Li 2.69-3.01
Pb 0.0000 0.0000 0.5000 [3 per cell]  6 Li 2.89, 6 Hg 3.19



[3]
A plane-wave DFT calculation with PBE-GGA was carried out for a relaxed structure of Ag2B3Pd9.

Results
Electronic total energy (eV per atom): -5.264
D(E_F) (states/eV/atom): 0.34
Calculated volume (Å³ per atom): 14.04
Formation enthalpy at 0 K (kJ per mole of atoms): -8.5

Cell lengths 6.8764, 6.9288, 9.2770 Å; angles 73.39, 70.77, 74.85 degrees
Last column: nearest neighbours and their distance in Å.
Space group P-1 (No. 2)
Symmetry-distinct sites (fractional):
Ag 0.1261 0.2665 0.2540 [2 per cell]  10 Pd 2.76-3.09, 1 Ag 2.83, 1 B 2.94
Ag 0.3594 0.5405 0.2659 [2 per cell]  9 Pd 2.68-2.91, 1 B 2.72, 1 Ag 2.83
B 0.0000 0.5000 0.5000 [1 per cell]  4 Pd 2.35-2.57
B 0.1315 0.7514 0.9946 [2 per cell]  6 Pd 2.05-2.24
B 0.3024 0.8896 0.4952 [2 per cell]  6 Pd 2.16-2.25
B 0.5000 0.0000 0.0000 [1 per cell]  6 Pd 2.15-2.19
Pd 0.0436 0.3064 0.7717 [2 per cell]  1 B 2.08
Pd 0.0523 0.8401 0.4256 [2 per cell]  2 B 2.16-2.35
Pd 0.1636 0.0396 0.0421 [2 per cell]  3 B 2.17-2.24
Pd 0.2095 0.4804 0.9235 [2 per cell]  1 B 2.05
Pd 0.2269 0.8856 0.7421 [2 per cell]  2 B 2.17-2.20
Pd 0.3041 0.5649 0.5854 [2 per cell]  1 B 2.16
Pd 0.3688 0.1870 0.4815 [2 per cell]  2 B 2.18-2.25
Pd 0.4683 0.7246 0.9537 [2 per cell]  2 B 2.15-2.19
Pd 0.4856 0.8899 0.2482 [2 per cell]  2 B 2.19-2.22



no.,total moment (μB/f.u.)
1,0.0
2,0.0
3,0.0